# 1
## LaTiTlCl2 (PBEsol)

Data for crystalline LaTiTlCl2 at its relaxed geometry.

* crystal system: tetragonal
* ΔE_f (raw): -0.2784 eV per atom
* V: 178.7 Å³/cell
* space-group type: P4/mmm (123)
* energy: -4.341 eV/atom

Cell lengths 5.3376, 5.3376, 6.2718 Å; angles 90.00, 90.00, 90.00 degrees
Last column: nearest neighbours and their distance in Å.
Atoms (fractional coordinates):
Cl1 0.0000 0.5000 0.0000  2 La 2.67
Cl2 0.5000 0.0000 0.0000  2 La 2.67
Tl1 0.5000 0.5000 0.5000  4 Ti 3.77, 8 Cl 4.12
Ti1 0.0000 0.0000 0.5000  2 La 3.14
La1 0.0000 0.0000 0.0000  4 Cl 2.67

***

# 2
## La2WCl (PBEsol)

Data for crystalline La2WCl at its relaxed geometry.

* crystal system: tetragonal
* ΔE_f (raw): -0.1385 eV per atom
* V: 94.4 Å³/cell
* space-group type: P4/mmm (123)
* energy: -6.765 eV/atom

Cell lengths 3.1657, 5.4596, 5.4596 Å; angles 90.00, 90.00, 90.00 degrees
Last column: nearest neighbours and their distance in Å.
Atoms (fractional coordinates):
Cl1 0.5000 0.0000 0.0000  8 La 3.16, 2 Cl 3.17
W1 0.5000 0.5000 0.5000  8 La 3.16, 2 W 3.17
La1 0.0000 0.0000 0.5000  4 Cl 3.16, 4 W 3.16, 2 La 3.17
La2 0.0000 0.5000 0.0000  4 Cl 3.16, 4 W 3.16, 2 La 3.17